# 1
HfBeAl2Mo | Alexandria | meta-GGA SCAN | PBEsol geometry; DFT formation energy = 2.33 eV per formula unit; symmetry = P4/mmm, No. 123
1.0
-2.407 -3.082 1.411
-0.202 -1.598 -3.833
3.724 -2.518 0.854
Be Mo Hf Al
1 1 1 2
Cartesian
0.000 0.000 0.000
0.558 -3.599 -0.784
1.862 -1.259 0.427
-0.101 -0.799 -1.917
-1.204 -1.541 0.706


# 2
MgPtW2 | Alexandria | meta-GGA SCAN | PBEsol geometry; DFT formation energy = 0.57 eV per formula unit; symmetry = Imm2, No. 44
1.0
-0.441 0.147 -3.303
3.109 -3.227 -0.558
-4.342 -1.405 2.201
Mg Pt W
1 1 2
Cartesian
1.308 -1.566 -1.928
0.031 -3.105 -0.142
-0.047 -0.046 0.004
-1.632 -1.308 -1.525


# 3
LiNb2O4 | Alexandria | meta-GGA SCAN | PBEsol geometry; symmetry = Pnnm, No. 58; total DFT energy (no corrections) = -15.861 eV/atom
1.0
2.939 0.000 0.000
0.000 5.112 0.000
0.000 0.000 10.459
Li Nb O
2 4 8
Cartesian
1.469 2.556 5.229
0.000 0.000 0.000
1.469 4.364 7.773
1.469 0.748 2.685
0.000 3.303 2.544
0.000 1.808 7.915
1.469 4.239 1.335
1.469 0.872 9.124
1.469 4.100 3.806
1.469 1.011 6.652
0.000 3.567 9.036
0.000 1.544 1.423
0.000 3.428 6.564
0.000 1.684 3.895


# 4
PIrBr2 | Alexandria | meta-GGA SCAN | PBEsol geometry; offset from the most stable computed form = 5.96 eV per formula unit; symmetry = R-3m, No. 166
1.0
-3.379 0.772 -0.733
-1.166 -0.147 -3.342
-3.417 -7.182 -0.369
Br Ir P
2 1 1
Cartesian
-2.107 -2.091 -1.050
-5.855 -4.466 -3.393
-3.981 -3.279 -2.222
0.000 0.000 0.000


# 5
CrFe2Tc | Alexandria | meta-GGA SCAN | PBEsol geometry; DFT formation energy = 0.21 eV per formula unit; symmetry = Cmm2, No. 35
1.0
-0.353 -1.847 -1.652
2.329 -0.188 0.897
-2.642 -4.738 5.862
Cr Tc Fe
1 1 2
Cartesian
0.355 -2.152 1.026
-1.316 -2.360 2.920
-0.004 -0.008 0.010
-1.022 -4.622 4.083


# 6
Cd5Ag3 | Alexandria | meta-GGA SCAN | PBEsol geometry; DFT formation energy = -0.29 eV per formula unit; offset from the most stable computed form = 0.00 eV per formula unit; symmetry = Cmmm, No. 65
1.0
-1.991 3.765 0.467
-1.268 -1.364 5.588
5.156 2.577 1.214
Ag Cd
3 5
Cartesian
1.944 0.607 3.401
-0.683 1.489 4.745
2.579 3.489 2.524
0.000 0.000 0.000
-0.634 -0.682 2.794
2.578 1.288 0.607
1.879 2.779 5.263
0.017 2.199 2.006


# 7
SrCa2Ga2 | Alexandria | meta-GGA SCAN | PBEsol geometry; DFT formation energy = -1.64 eV per formula unit; offset from the most stable computed form = 0.14 eV per formula unit; symmetry = I4/mmm, No. 139
1.0
-2.514 -1.196 -3.939
-3.679 -1.417 2.779
0.633 7.248 0.348
Sr Ca Ga
1 2 2
Cartesian
0.000 0.000 0.000
-3.071 2.262 1.274
-2.489 2.372 -2.085
-1.996 4.814 -0.188
-3.564 -0.180 -0.624


# 8
BaMnCl | Alexandria | meta-GGA SCAN | PBEsol geometry; offset from the most stable computed form = 1.28 eV per formula unit; symmetry = F-43m, No. 216
1.0
-1.712 -2.183 -4.347
2.291 -4.242 -1.831
-2.447 -4.536 0.182
Mn Ba Cl
1 1 1
Cartesian
-0.467 -2.740 -1.499
0.000 0.000 0.000
-0.934 -5.480 -2.998